Below is an optimized crystal structure of LiAlFeGe, with properties calculated at the PBE-GGA level.

The structure belongs to space group F-43m (No. 216); the cell edges are 5.8571, 5.8571 and 5.8571 Å and the angles 90.00°, 90.00° and 90.00°. The inequivalent atoms are Li at (0.0000, 0.0000, 0.0000), Al at (0.2500, 0.2500, 0.7500), Fe at (0.0000, 0.0000, 0.5000) and Ge at (0.2500, 0.2500, 0.2500).

For the energy of formation from the pure elements, the calculation gives -0.16 eV per atom. Its total magnetization is 0.38 μB per formula unit. The electronic total energy comes out at -4.843 eV/atom.


Below is an optimized crystal structure of Ba3TmHg4, with properties calculated at the PBE-GGA level.

The structure belongs to space group P4/mmm (No. 123); the cell edges are 3.9984, 3.9984 and 16.6860 Å and the angles 90.00°, 90.00° and 90.00°. The inequivalent atoms are Ba at (0.0000, 0.0000, 0.0000), Ba at (0.0000, 0.0000, 0.2657), Tm at (0.0000, 0.0000, 0.5000), Hg at (0.5000, 0.5000, 0.1314) and Hg at (0.5000, 0.5000, 0.4039).

For the energy of formation from the pure elements, the calculation gives -0.47 eV per atom. Its total magnetization is 0.00 μB per formula unit. The electronic total energy comes out at -1.905 eV/atom.


Below is an optimized crystal structure of Ce2SmNbN5, with properties calculated at the PBE-GGA level.

The structure belongs to space group Cmc2_1 (No. 36); the cell edges are 3.5341, 14.3176 and 10.4149 Å and the angles 90.00°, 90.00° and 90.00°. The inequivalent atoms are Ce at (0.0000, 0.1085, 0.0000), Ce at (0.0000, 0.1346, 0.5843), Sm at (0.0000, 0.2205, 0.3016), Nb at (0.0000, 0.4757, 0.7758), N at (0.0000, 0.0519, 0.3646), N at (0.0000, 0.2812, 0.9875), N at (0.0000, 0.3385, 0.6776), N at (0.0000, 0.3853, 0.3347) and N at (0.0000, 0.4824, 0.0937).

Its total magnetization is 1.10 μB per formula unit. The electronic total energy comes out at -8.829 eV/atom.


Below is an optimized crystal structure of AgAu3Br, with properties calculated at the PBE-GGA level.

The structure belongs to space group Pm-3m (No. 221); the cell edges are 5.1611, 5.1611 and 5.1611 Å and the angles 90.00°, 90.00° and 90.00°. The inequivalent atoms are Ag at (0.0000, 0.0000, 0.0000), Au at (0.0000, 0.5000, 0.5000) and Br at (0.5000, 0.5000, 0.5000).

Its total magnetization is 0.00 μB per formula unit. The value obtained for the energy above the most stable polymorph in this dataset is 105 kJ/mol of formula units. The electronic total energy comes out at -1.870 eV/atom.


Below is an optimized crystal structure of Cs2AgH, with properties calculated at the PBE-GGA level.

The structure belongs to space group I-42d (No. 122); the cell edges are 8.7952, 8.7952 and 9.6106 Å and the angles 90.00°, 90.00° and 90.00°. The inequivalent atoms are Cs at (0.1772, 0.7500, 0.1250), Ag at (0.0000, 0.0000, 0.5000) and H at (0.0000, 0.0000, 0.0000).

Its total magnetization is 0.00 μB per formula unit. The value obtained for the energy above the most stable polymorph in this dataset is 18 kJ/mol of formula units. The electronic total energy comes out at -1.973 eV/atom.


Below is an optimized crystal structure of Zr2MoRuPb, with properties calculated at the PBE-GGA level.

The structure belongs to space group P4/mmm (No. 123); the cell edges are 5.0447, 5.0447 and 5.1980 Å and the angles 90.00°, 90.00° and 90.00°. The inequivalent atoms are Zr at (0.0000, 0.5000, 0.0000), Mo at (0.0000, 0.0000, 0.5000), Ru at (0.5000, 0.5000, 0.0000) and Pb at (0.5000, 0.5000, 0.5000).

For the energy of formation from the pure elements, the calculation gives 0.89 eV per atom. Its total magnetization is 2.97 μB per formula unit. The electronic total energy comes out at -7.288 eV/atom.


Below is an optimized crystal structure of Li2Ag3WS6, with properties calculated at the PBE-GGA level.

The structure belongs to space group C2/m (No. 12); the cell edges are 6.6473, 10.8046 and 6.2102 Å and the angles 90.00°, 101.03° and 90.00°. The inequivalent atoms are Li at (0.0000, 0.1541, 0.0000), Ag at (0.0000, 0.1819, 0.5000), Ag at (0.0000, 0.5000, 0.5000), W at (0.0000, 0.5000, 0.0000), S at (0.1427, 0.3398, 0.7991) and S at (0.1722, 0.0000, 0.7490).

Its total magnetization is 0.00 μB per formula unit. The electronic total energy comes out at -4.548 eV/atom.


Below is an optimized crystal structure of CsLiAl2F8, with properties calculated at the PBE-GGA level.

The structure belongs to space group R-3 (No. 148, hexagonal axes); the cell edges are 5.3104, 5.3104 and 24.4639 Å and the angles 90.00°, 90.00° and 120.00°. The inequivalent atoms are Cs at (0.0000, 0.0000, 0.0000), Li at (0.0000, 0.0000, 0.5000), Al at (0.0000, 0.0000, 0.2324), F at (0.0000, 0.0000, 0.3025) and F at (0.0076, 0.3788, 0.8809).

Its total magnetization is 0.16 μB per formula unit. The electronic total energy comes out at -5.408 eV/atom.


Below is an optimized crystal structure of PuPb8, with properties calculated at the PBE-GGA level.

The structure belongs to space group I4/mmm (No. 139); the cell edges are 10.4364, 10.4364 and 5.0853 Å and the angles 90.00°, 90.00° and 90.00°. The inequivalent atoms are Pu at (0.0000, 0.0000, 0.0000), Pb at (0.0000, 0.3324, 0.0000) and Pb at (0.1656, 0.1656, 0.5000).

For the energy of formation from the pure elements, the calculation gives 0.02 eV per atom. Its total magnetization is 6.22 μB per formula unit. The electronic total energy comes out at -4.865 eV/atom.


Below is an optimized crystal structure of Tl2InGaHg2, with properties calculated at the PBE-GGA level.

The structure belongs to space group Ibam (No. 72); the cell edges are 6.6738, 15.1443 and 6.6681 Å and the angles 90.00°, 90.00° and 90.00°. The inequivalent atoms are Tl at (0.2415, 0.1697, 0.0000), In at (0.0000, 0.0000, 0.2500), Ga at (0.0000, 0.5000, 0.2500) and Hg at (0.2223, 0.3751, 0.0000).

For the energy of formation from the pure elements, the calculation gives 0.04 eV per atom. Its total magnetization is 0.00 μB per formula unit. The electronic total energy comes out at -1.814 eV/atom.


Below is an optimized crystal structure of LiNpSn4Pd2, with properties calculated at the PBE-GGA level.

The structure belongs to space group R-3m (No. 166, hexagonal axes); the cell edges are 4.7010, 4.7010 and 26.6801 Å and the angles 90.00°, 90.00° and 120.00°. The inequivalent atoms are Li at (0.0000, 0.0000, 0.0000), Np at (0.0000, 0.0000, 0.5000), Sn at (0.0000, 0.0000, 0.1095), Sn at (0.0000, 0.0000, 0.3729) and Pd at (0.0000, 0.0000, 0.2635).

For the energy of formation from the pure elements, the calculation gives -0.27 eV per atom. Its total magnetization is 4.28 μB per formula unit. The electronic total energy comes out at -5.431 eV/atom.


Below is an optimized crystal structure of MnWN2, with properties calculated at the PBE-GGA level.

The structure belongs to space group Fm-3m (No. 225); the cell edges are 5.2774, 5.2774 and 5.2774 Å and the angles 90.00°, 90.00° and 90.00°. The inequivalent atoms are Mn at (0.0000, 0.0000, 0.0000), W at (0.0000, 0.0000, 0.5000) and N at (0.2500, 0.2500, 0.2500).

Its total magnetization is 2.95 μB per formula unit. The electronic total energy comes out at -9.374 eV/atom.


Below is an optimized crystal structure of LaCoRu, with properties calculated at the PBE-GGA level.

The structure belongs to space group Imm2 (No. 44); the cell edges are 3.4001, 3.4121 and 9.9246 Å and the angles 90.00°, 90.00° and 90.00°. The inequivalent atoms are La at (0.0000, 0.0000, 0.0000), Co at (0.0000, 0.0000, 0.2862) and Ru at (0.0000, 0.0000, 0.7194).

For the energy of formation from the pure elements, the calculation gives 0.17 eV per atom. Its total magnetization is 1.49 μB per formula unit. The electronic total energy comes out at -6.932 eV/atom.


Below is an optimized crystal structure of SnGePbI6, with properties calculated at the PBE-GGA level.

The structure belongs to space group P4_2nm (No. 102); the cell edges are 7.5109, 7.5109 and 13.9234 Å and the angles 90.00°, 90.00° and 90.00°. The inequivalent atoms are Sn at (0.0000, 0.0000, 0.0000), Ge at (0.0000, 0.0000, 0.6649), Pb at (0.0000, 0.0000, 0.3312), I at (0.1927, 0.1927, 0.8253), I at (0.1977, 0.1977, 0.5087) and I at (0.2130, 0.2130, 0.1628).

Its total magnetization is 0.00 μB per formula unit. The electronic total energy comes out at -2.844 eV/atom.


Below is an optimized crystal structure of Ca3Ta3CrN8, with properties calculated at the PBE-GGA level.

The structure belongs to space group R-3m (No. 166, hexagonal axes); the cell edges are 6.2476, 6.2476 and 16.7678 Å and the angles 90.00°, 90.00° and 120.00°. The inequivalent atoms are Ca at (0.0000, 0.5000, 0.0000), Ta at (0.0000, 0.5000, 0.5000), Cr at (0.0000, 0.0000, 0.5000), N at (0.0000, 0.0000, 0.2382) and N at (0.0009, 0.5005, 0.7676).

Its total magnetization is 2.69 μB per formula unit. The electronic total energy comes out at -8.920 eV/atom.


Below is an optimized crystal structure of NdBeNi4, with properties calculated at the PBE-GGA level.

The structure belongs to space group Pmma (No. 51); the cell edges are 6.9332, 3.5962 and 6.5125 Å and the angles 90.00°, 90.00° and 90.00°. The inequivalent atoms are Nd at (0.2500, 0.0000, 0.1208), Be at (0.2500, 0.0000, 0.6871), Ni at (0.0000, 0.0000, 0.5000), Ni at (0.0662, 0.5000, 0.7812) and Ni at (0.2500, 0.5000, 0.4639).

For the energy of formation from the pure elements, the calculation gives -0.25 eV per atom. Its total magnetization is 0.00 μB per formula unit. The electronic total energy comes out at -5.518 eV/atom.


Below is an optimized crystal structure of SrAlSe2, with properties calculated at the PBE-GGA level.

The structure belongs to space group Pm (No. 6); the cell edges are 4.1953, 4.1591 and 6.3825 Å and the angles 90.00°, 106.12° and 90.00°. The inequivalent atoms are Sr at (0.0000, 0.0000, 0.0000), Al at (0.6219, 0.5000, 0.5216), Se at (0.3049, 0.0000, 0.5903) and Se at (0.5569, 0.5000, 0.1360).

Its total magnetization is 0.00 μB per formula unit. The electronic total energy comes out at -4.283 eV/atom.


Below is an optimized crystal structure of SrSnAs2Br, with properties calculated at the PBE-GGA level.

The structure belongs to space group P4/mmm (No. 123); the cell edges are 5.7376, 5.7376 and 5.6367 Å and the angles 90.00°, 90.00° and 90.00°. The inequivalent atoms are Sr at (0.0000, 0.0000, 0.0000), Sn at (0.5000, 0.5000, 0.5000), As at (0.0000, 0.5000, 0.0000) and Br at (0.0000, 0.0000, 0.5000).

Its total magnetization is 0.91 μB per formula unit. The value obtained for the energy above the most stable polymorph in this dataset is 290 kJ/mol of formula units. The electronic total energy comes out at -3.006 eV/atom.


Below is an optimized crystal structure of ScAgB3, with properties calculated at the PBE-GGA level.

The structure belongs to space group Pm-3m (No. 221); the cell edges are 4.1492, 4.1492 and 4.1492 Å and the angles 90.00°, 90.00° and 90.00°. The inequivalent atoms are Sc at (0.0000, 0.0000, 0.0000), Ag at (0.5000, 0.5000, 0.5000) and B at (0.0000, 0.5000, 0.5000).

For the energy of formation from the pure elements, the calculation gives 1.51 eV per atom. Its total magnetization is 0.00 μB per formula unit. The value obtained for the energy above the most stable polymorph in this dataset is 0 kJ/mol of formula units. The electronic total energy comes out at -4.333 eV/atom.


Below is an optimized crystal structure of Na4AlPt3O8, with properties calculated at the PBE-GGA level.

The structure belongs to space group C2/m (No. 12); the cell edges are 12.0205, 6.0269 and 6.0621 Å and the angles 90.00°, 114.65° and 90.00°. The inequivalent atoms are Na at (0.0000, 0.0000, 0.0000), Na at (0.0000, 0.5000, 0.0000), Na at (0.2500, 0.2500, 0.5000), Al at (0.0000, 0.0000, 0.5000), Pt at (0.0000, 0.5000, 0.5000), Pt at (0.2500, 0.2500, 0.0000), O at (0.0397, 0.2329, 0.3323), O at (0.1817, 0.0000, 0.7663) and O at (0.1826, 0.5000, 0.7475).

Its total magnetization is 0.86 μB per formula unit. The electronic total energy comes out at -5.455 eV/atom.


Below is an optimized crystal structure of Zn3Pd2Pt2, with properties calculated at the PBE-GGA level.

The structure belongs to space group P-1 (No. 2); the cell edges are 4.2492, 4.2493 and 7.3448 Å and the angles 89.81°, 73.20° and 60.23°. The inequivalent atoms are Zn at (0.0000, 0.0000, 0.0000), Zn at (0.4987, 0.7504, 0.2549), Pd at (0.2461, 0.3771, 0.1324) and Pt at (0.2505, 0.8748, 0.6205).

For the energy of formation from the pure elements, the calculation gives -0.42 eV per atom. Its total magnetization is 0.00 μB per formula unit. The electronic total energy comes out at -4.173 eV/atom.


Below is an optimized crystal structure of Pr2Y3Tm7, with properties calculated at the PBE-GGA level.

The structure belongs to space group P2/m (No. 10); the cell edges are 6.3155, 3.5095 and 17.3740 Å and the angles 90.00°, 96.20° and 90.00°. The inequivalent atoms are Pr at (0.0596, 0.0000, 0.1743), Y at (0.4512, 0.5000, 0.8426), Y at (0.5000, 0.0000, 0.5000), Tm at (0.0000, 0.5000, 0.5000), Tm at (0.2257, 0.0000, 0.6650), Tm at (0.2560, 0.0000, 0.9992) and Tm at (0.2755, 0.5000, 0.3375).

For the energy of formation from the pure elements, the calculation gives 0.09 eV per atom. Its total magnetization is 0.00 μB per formula unit. The value obtained for the energy above the most stable polymorph in this dataset is 0 kJ/mol of formula units. The electronic total energy comes out at -4.934 eV/atom.


Below is an optimized crystal structure of Mg2InI6, with properties calculated at the PBE-GGA level.

The structure belongs to space group C2/m (No. 12); the cell edges are 14.8703, 4.5020 and 12.2127 Å and the angles 90.00°, 96.38° and 90.00°. The inequivalent atoms are Mg at (0.2136, 0.0000, 0.2338), In at (0.0000, 0.5000, 0.5000), I at (0.1016, 0.5000, 0.7368), I at (0.1392, 0.0000, 0.4359) and I at (0.1517, 0.5000, 0.1151).

Its total magnetization is 0.00 μB per formula unit. The electronic total energy comes out at -2.451 eV/atom.